1.
A relaxed TcW4Br crystal. Source: the Alexandria database, functional PBE-GGA.

## Properties
- Space group: F-43m
- Fermi-level density of states: 1.106 states/eV/atom
- Formation energy from raw total energies: 1.134 eV per atom

Cell: 5.309 5.309 5.309 Å, 60.00 60.00 60.00°
Fractional positions:
1 Tc 0.000 0.000 0.000
2 W 0.126 0.625 0.625
3 W 0.625 0.126 0.625
4 W 0.625 0.625 0.126
5 W 0.625 0.625 0.625
6 Br 0.250 0.250 0.250

***

2.
A relaxed TcWBr2 crystal. Source: the Alexandria database, functional PBE-GGA.

## Properties
- Space group: Immm
- Fermi-level density of states: 0.779 states/eV/atom
- Formation energy from raw total energies: 0.602 eV per atom

Cell: 7.954 7.954 7.954 Å, 156.84 149.33 38.78°
Fractional positions:
1 Tc 0.000 0.000 0.000
2 W 0.500 0.500 0.000
3 Br 0.358 0.858 0.500
4 Br 0.642 0.142 0.500